Below is an optimized crystal structure of K2CrIn2F6, with properties calculated at the PBE+U level.

Unit cell a=6.6071 b=11.1887 c=6.4252 alpha=90.00 beta=103.46 gamma=90.00
Closest atoms and distances in Å follow each position.
Space group C2/m (No. 12)
Symmetry-distinct sites (fractional):
1 K 0.0000 0.1601 0.0000 [4 per cell]  4 F 2.62-2.71
2 Cr 0.0000 0.5000 0.0000 [2 per cell]  4 F 2.03
3 In 0.0000 0.3388 0.5000 [4 per cell]  4 F 2.42-2.69
4 F 0.1769 0.3681 0.1669 [8 per cell]  1 Cr 2.03
5 F 0.1913 0.5000 0.7074 [4 per cell]  2 In 2.42, 1 Cr 2.50

Summary:
* calculated total energy: -4.692 eV per atom
* magnetization: 4.000 μB/f.u.